# FeAu2Br6

FeAu2Br6 after structural relaxation (PBE, Alexandria).

As for the formation energy (no corrections): -4.157 kcal/mol of atoms. The magnetization comes out at 8.96 μB per cell.

The space group is P2_1/c (No. 14) and the conventional cell measures 6.675, 7.020 and 12.601 Å, with angles of 90.00, 113.82 and 90.00 degrees. The asymmetric unit holds Fe at (0.000, 0.000, 0.000), Au at (0.335, 0.118, 0.831), Br at (0.079, 0.204, 0.404), Br at (0.233, 0.688, 0.431) and Br at (0.375, 0.077, 0.212).